Here is crystalline MoC at its relaxed geometry from the Alexandria database. Energies are from GGA-PBE.

Structure (extended XYZ):
```
8
Lattice="0.243 2.793 1.128 -1.337 -0.438 -2.675 -9.462 -1.165 4.919" Properties=species:S:1:pos:R:3 pbc="T T T"
Mo -1.947 0.499 -0.816
Mo -6.152 0.994 2.911
Mo -8.609 0.691 4.189
Mo -4.404 0.196 0.461
C 0.000 0.000 0.000
C -4.731 -0.582 2.460
C -7.907 -0.235 2.282
C -2.649 1.425 1.090
```

Results
Space group: No. 194
ΔE_f (eV/atom): 0.118
Total DFT energy (no corrections) (eV per cell): -79.3
Polymorph energy (0 for the lowest one) (meV per atom): 211.7
D(E_F) (states/eV/f.u.): 1.31

***

Here is crystalline Y2ScAg at its relaxed geometry from the Alexandria database. Energies are from GGA-PBE.

Structure (extended XYZ):
```
4
Lattice="-3.209 -1.462 -3.908 -0.663 -5.107 -1.089 -4.580 -2.352 1.096" Properties=species:S:1:pos:R:3 pbc="T T T"
Ag -4.226 -4.460 -1.951
Sc -6.338 -6.691 -2.926
Y 0.000 0.000 0.000
Y -2.113 -2.230 -0.975
```

Results
Space group: No. 216
ΔE_f (eV/atom): 0.109
Total DFT energy (no corrections) (eV per cell): -21.7
Polymorph energy (0 for the lowest one) (meV per atom): 229.3
D(E_F) (states/eV/f.u.): 5.89

***

Here is crystalline Cd3P2 at its relaxed geometry from the Alexandria database. Energies are from GGA-PBE.

Structure (extended XYZ):
```
5
Lattice="-3.524 -4.448 5.528 0.347 -3.973 6.845 -2.422 -0.994 7.477" Properties=species:S:1:pos:R:3 pbc="T T T"
Cd 0.000 0.000 0.000
Cd -4.396 -7.393 15.586
Cd -1.203 -2.022 4.263
P -2.264 -3.807 8.026
P -3.335 -5.608 11.823
```

Results
Space group: No. 166
ΔE_f (eV/atom): 0.172
Total DFT energy (no corrections) (eV per cell): -12.7
Polymorph energy (0 for the lowest one) (meV per atom): 222.4
D(E_F) (states/eV/f.u.): 2.11

***

Here is crystalline V4Ga2Pt at its relaxed geometry from the Alexandria database. Energies are from GGA-PBE.

Structure (extended XYZ):
```
7
Lattice="-2.476 -1.919 -3.558 -2.649 -2.382 3.128 -6.718 2.778 0.019" Properties=species:S:1:pos:R:3 pbc="T T T"
Ga -3.493 -1.047 -0.163
Ga -8.351 -0.476 -0.249
Pt 0.000 0.000 0.000
V -5.130 0.894 -0.071
V -6.713 -2.418 -0.341
V -1.325 -1.191 1.564
V -1.238 -0.959 -1.779
```

Results
Space group: No. 139
ΔE_f (eV/atom): 0.781
Total DFT energy (no corrections) (eV per cell): -43.1
D(E_F) (states/eV/f.u.): 8.79

***

Here is crystalline Cd4In2Hg at its relaxed geometry from the Alexandria database. Energies are from GGA-PBE.

Structure (extended XYZ):
```
7
Lattice="3.125 0.000 0.441 1.531 2.724 0.441 -1.255 -0.734 20.176" Properties=species:S:1:pos:R:3 pbc="T T T"
In 0.742 0.434 6.031
In 2.660 1.556 15.028
Hg 0.000 0.000 0.000
Cd 2.225 1.301 18.109
Cd 1.177 0.689 2.950
Cd -0.041 -0.024 11.581
Cd 3.443 2.014 9.478
```

Results
Space group: No. 166
ΔE_f (eV/atom): 0.058
Total DFT energy (no corrections) (eV per cell): -9.0
Polymorph energy (0 for the lowest one) (meV per atom): 0.0
D(E_F) (states/eV/f.u.): 3.09

***

Here is crystalline CeTm2Th at its relaxed geometry from the Alexandria database. Energies are from GGA-PBE.

Structure (extended XYZ):
```
4
Lattice="-2.269 4.454 -2.529 -1.265 -0.217 -5.453 -5.358 -0.131 -1.629" Properties=species:S:1:pos:R:3 pbc="T T T"
Tm -2.223 1.026 -2.403
Tm -6.669 3.079 -7.208
Ce -4.446 2.053 -4.805
Th 0.000 0.000 0.000
```

Results
Space group: No. 225
ΔE_f (eV/atom): 0.161
Total DFT energy (no corrections) (eV per cell): -21.7
Polymorph energy (0 for the lowest one) (meV per atom): 118.9
D(E_F) (states/eV/f.u.): 9.74

***

Here is crystalline ScTa3Cl at its relaxed geometry from the Alexandria database. Energies are from GGA-PBE.

Structure (extended XYZ):
```
5
Lattice="4.593 0.000 0.000 0.000 4.593 0.000 0.000 0.000 4.593" Properties=species:S:1:pos:R:3 pbc="T T T"
Sc 2.296 2.296 2.296
Cl 0.000 0.000 0.000
Ta 0.000 2.296 0.000
Ta 0.000 0.000 2.296
Ta 2.296 0.000 0.000
```

Results
Uncorrected formation energy (eV per formula unit): 3.06
Space group: No. 221
Total DFT energy (no corrections) (eV per cell): -40.7
Polymorph energy (0 for the lowest one) (meV per atom): 0.0
D(E_F) (states/eV/f.u.): 5.04

***

Here is crystalline LaTaAu2 at its relaxed geometry from the Alexandria database. Energies are from GGA-PBE.

Structure (extended XYZ):
```
8
Lattice="5.119 0.000 0.000 0.000 5.119 0.000 2.560 2.560 8.584" Properties=species:S:1:pos:R:3 pbc="T T T"
La 2.560 2.560 0.000
La 2.560 5.119 4.292
Au 4.295 1.280 2.146
Au 0.825 3.840 2.146
Au 3.840 3.384 6.438
Au 6.399 6.854 6.438
Ta 0.000 0.000 0.000
Ta 5.119 2.560 4.292
```

Results
Space group: No. 122
ΔE_f (eV/atom): 0.270
Total DFT energy (no corrections) (eV per cell): -44.5
Polymorph energy (0 for the lowest one) (meV per atom): 473.8
D(E_F) (states/eV/f.u.): 5.46

***

Here is crystalline Tl2GePtO4 at its relaxed geometry from the Alexandria database. Energies are from GGA-PBE.

Structure (extended XYZ):
```
16
Lattice="5.900 0.000 0.000 2.950 6.428 0.000 2.950 0.000 9.663" Properties=species:S:1:pos:R:3 pbc="T T T"
Tl 2.950 0.000 6.356
Tl 5.900 0.000 3.308
Tl 7.375 3.214 8.140
Tl 7.375 3.214 1.524
Ge 4.425 3.214 4.832
Ge 2.950 0.000 0.000
Pt 7.375 3.214 4.832
Pt 0.000 0.000 0.000
O 4.557 5.176 0.101
O 4.557 1.252 9.563
O 10.193 5.176 9.563
O 4.293 1.252 0.101
O 5.768 4.466 4.731
O 5.768 1.962 4.932
O 8.982 4.466 4.932
O 3.082 1.962 4.731
```

Results
Uncorrected formation energy (eV per formula unit): -6.50
Space group: No. 70
Total DFT energy (no corrections) (eV per cell): -83.4

***

Here is crystalline Sm2P3Pt9 at its relaxed geometry from the Alexandria database. Energies are from GGA-PBE.

Structure (extended XYZ):
```
28
Lattice="7.302 -0.007 -3.045 -4.286 6.650 -0.039 -0.140 -0.110 9.800" Properties=species:S:1:pos:R:3 pbc="T T T"
Sm 1.332 1.545 6.307
Sm 1.545 4.988 0.409
Sm 4.629 3.836 4.294
Sm -1.753 2.698 2.422
P 3.651 -0.003 -1.522
P 1.438 3.267 3.358
P 5.588 1.160 2.266
P -2.712 5.373 4.450
P -0.457 2.394 9.184
P 3.333 4.139 -2.468
Pt -0.819 5.990 5.712
Pt 3.695 0.544 1.004
Pt 1.868 4.666 5.489
Pt 1.008 1.868 1.227
Pt 0.264 4.072 7.696
Pt 2.612 2.461 -0.981
Pt -0.713 3.281 5.037
Pt 3.590 3.252 1.679
Pt 5.795 0.846 4.633
Pt -2.919 5.688 2.083
Pt -3.243 6.480 8.700
Pt 6.119 0.054 -1.984
Pt 3.017 1.366 3.805
Pt -0.140 5.168 2.911
Pt 2.738 5.682 2.965
Pt 0.138 0.851 3.751
Pt 4.248 1.957 6.588
Pt -1.371 4.577 0.128
```

Results
Space group: No. 15
ΔE_f (eV/atom): -0.691
Total DFT energy (no corrections) (eV per cell): -179.4
D(E_F) (states/eV/f.u.): 5.93

***

Here is crystalline CsZnFeH6 at its relaxed geometry from the Alexandria database. Energies are from GGA-PBE.

Structure (extended XYZ):
```
9
Lattice="-0.304 0.136 -4.535 -0.167 -3.942 -2.537 -6.063 -0.011 0.403" Properties=species:S:1:pos:R:3 pbc="T T T"
Cs -6.366 0.120 -4.120
Zn -3.345 -2.546 -4.509
Fe -3.192 -1.238 -2.213
H -2.073 -1.878 -1.317
H -4.270 -0.097 -1.971
H -4.343 -1.884 -3.099
H -4.180 -1.857 -1.161
H -2.168 -1.857 -3.259
H -2.094 -0.098 -2.088
```

Results
Space group: No. 5
Total DFT energy (no corrections) (eV per cell): -31.1
D(E_F) (states/eV/f.u.): 1.54

***

Here is crystalline Ti2MnCr at its relaxed geometry from the Alexandria database. Energies are from GGA-PBE.

Structure (extended XYZ):
```
8
Lattice="-5.510 2.028 -3.028 2.911 -0.852 -5.868 -2.188 -1.937 -4.522" Properties=species:S:1:pos:R:3 pbc="T T T"
Cr -1.299 0.588 -4.448
Cr -0.288 -1.101 -7.419
Mn 0.000 0.000 0.000
Mn -4.498 0.339 -5.999
Ti -3.683 0.697 -3.787
Ti 0.640 -0.784 -5.146
Ti -2.645 -1.003 -6.667
Ti -3.885 -0.433 -11.235
```

Results
Space group: No. 122
ΔE_f (eV/atom): 0.441
Total DFT energy (no corrections) (eV per cell): -65.6
D(E_F) (states/eV/f.u.): 3.49

***

Here is crystalline Tb3Nd2Tm2 at its relaxed geometry from the Alexandria database. Energies are from GGA-PBE.

Structure (extended XYZ):
```
7
Lattice="-1.330 1.215 -3.094 4.129 -8.478 -5.103 -5.846 -1.929 -0.309" Properties=species:S:1:pos:R:3 pbc="T T T"
Tb 0.000 0.000 0.000
Tb -0.451 -4.333 -5.648
Tb -2.596 -4.859 -2.858
Nd -3.679 -1.459 -3.131
Nd 0.632 -7.732 -5.374
Tm -0.202 -2.192 -2.844
Tm -2.846 -7.000 -5.662
```

Results
Space group: No. 12
ΔE_f (eV/atom): 0.019
Total DFT energy (no corrections) (eV per cell): -32.2
Polymorph energy (0 for the lowest one) (meV per atom): 0.0
D(E_F) (states/eV/f.u.): 8.93

***

Here is crystalline CaAcTb14 at its relaxed geometry from the Alexandria database. Energies are from GGA-PBE.

Structure (extended XYZ):
```
16
Lattice="-6.895 1.185 -2.232 1.352 -4.737 5.447 -1.014 8.512 7.655" Properties=species:S:1:pos:R:3 pbc="T T T"
Ca -4.143 -0.791 0.330
Ac -0.031 -3.744 4.159
Tb -4.654 3.468 4.155
Tb -0.523 0.502 8.000
Tb -0.714 -1.389 1.450
Tb -1.206 2.875 5.270
Tb -3.458 -3.147 3.041
Tb -3.978 1.099 6.878
Tb -2.805 5.918 5.859
Tb -2.314 1.790 2.147
Tb -5.587 4.135 7.472
Tb -5.095 0.008 3.760
Tb -6.295 6.565 4.746
Tb -5.795 2.369 0.973
Tb -2.167 3.608 8.597
Tb -1.665 -0.604 4.810
```

Results
Space group: No. 38
ΔE_f (eV/atom): 0.038
Total DFT energy (no corrections) (eV per cell): -70.3
D(E_F) (states/eV/f.u.): 25.60

***

Here is crystalline Na3Tl6Bi2 at its relaxed geometry from the Alexandria database. Energies are from GGA-PBE.

Structure (extended XYZ):
```
11
Lattice="-2.219 1.471 5.101 2.091 -3.262 4.255 8.534 2.928 27.070" Properties=species:S:1:pos:R:3 pbc="T T T"
Na 0.000 0.000 0.000
Na 3.514 0.244 16.522
Na 4.892 0.893 19.905
Tl 6.159 2.496 29.425
Tl 8.265 0.183 29.012
Tl 2.247 -1.359 7.002
Tl 0.141 0.954 7.415
Tl 5.339 0.738 23.051
Tl 3.067 0.399 13.376
Bi 2.553 0.550 9.926
Bi 5.852 0.587 26.501
```

Results
Space group: No. 12
ΔE_f (eV/atom): -0.069
Total DFT energy (no corrections) (eV per cell): -26.7
D(E_F) (states/eV/f.u.): 4.10

***

Here is crystalline V2CoSi at its relaxed geometry from the Alexandria database. Energies are from GGA-PBE.

Structure (extended XYZ):
```
4
Lattice="3.959 0.000 0.000 0.000 3.500 0.000 0.000 0.000 3.500" Properties=species:S:1:pos:R:3 pbc="T T T"
Si 1.979 0.000 0.000
Co 1.979 1.750 1.750
V 0.000 0.000 1.750
V 0.000 1.750 0.000
```

Results
Uncorrected formation energy (eV per formula unit): -1.57
Space group: No. 123
Total DFT energy (no corrections) (eV per cell): -32.3
D(E_F) (states/eV/f.u.): 3.71

***

Here is crystalline U4CdGa15 at its relaxed geometry from the Alexandria database. Energies are from GGA-PBE.

Structure (extended XYZ):
```
20
Lattice="-2.596 -3.236 -0.989 2.566 -1.070 -3.234 11.021 -12.807 12.984" Properties=species:S:1:pos:R:3 pbc="T T T"
U 2.192 -2.547 2.582
U 4.407 -5.121 5.192
U 6.614 -7.686 7.792
U 8.829 -10.260 10.402
Cd 0.000 0.000 0.000
Ga -0.015 -2.153 -2.111
Ga 2.240 -4.773 0.545
Ga 4.399 -7.282 3.089
Ga 6.593 -9.831 5.673
Ga 8.752 -12.341 8.217
Ga -0.214 -2.877 0.782
Ga 2.005 -5.456 3.397
Ga 4.213 -8.022 5.998
Ga 6.421 -10.587 8.599
Ga 8.640 -13.166 11.213
Ga 2.367 -1.795 -0.340
Ga 4.586 -4.373 2.274
Ga 6.794 -6.939 4.875
Ga 9.001 -9.504 7.476
Ga 11.220 -12.083 10.090
```

Results
Space group: No. 123
ΔE_f (eV/atom): -0.155
Total DFT energy (no corrections) (eV per cell): -94.6
D(E_F) (states/eV/f.u.): 21.91

***

Here is crystalline Ce2PuMgN5 at its relaxed geometry from the Alexandria database. Energies are from GGA-PBE.

Structure (extended XYZ):
```
18
Lattice="-2.340 0.708 2.493 -2.089 -6.016 -2.697 5.959 -5.243 7.080" Properties=species:S:1:pos:R:3 pbc="T T T"
Ce 1.172 -7.885 5.783
Ce 3.479 -4.942 4.667
Ce 0.825 -3.076 1.647
Ce -2.492 -5.132 1.563
Pu 0.005 -5.574 4.032
Pu -1.324 -2.471 -0.541
Mg 4.461 -4.954 8.037
Mg -0.337 -7.879 1.921
N -2.320 -4.120 -1.008
N 2.718 -6.448 6.826
N 1.403 -9.626 4.049
N 2.120 -6.555 3.851
N -0.722 -7.400 3.868
N 0.939 -3.869 4.424
N 0.233 -5.354 1.739
N 0.407 -1.171 3.159
N -1.704 -3.016 1.702
N -0.166 -1.023 0.134
```

Results
Uncorrected formation energy (eV per formula unit): -9.81
Space group: No. 36
Total DFT energy (no corrections) (eV per cell): -158.5
D(E_F) (states/eV/f.u.): 5.46

***

Here is crystalline InFeP2 at its relaxed geometry from the Alexandria database. Energies are from GGA-PBE.

Structure (extended XYZ):
```
4
Lattice="-0.213 1.950 -3.108 -2.560 -3.317 -1.906 -4.909 0.420 0.600" Properties=species:S:1:pos:R:3 pbc="T T T"
Fe -1.974 0.251 -1.880
In -5.708 -1.197 -2.533
P -0.993 0.067 0.110
P -2.742 -1.515 -0.763
```

Results
Space group: No. 10
ΔE_f (eV/atom): -0.022
Total DFT energy (no corrections) (eV per cell): -22.1
D(E_F) (states/eV/f.u.): 1.54